! P2WSCl | the Alexandria database | PBE | optimized geometry; values from VASP
&SYSTEM
  ibrav = 0, nat = 5, ntyp = 4
/
ATOMIC_SPECIES
P 30.97 P.upf
W 183.84 W.upf
S 32.06 S.upf
Cl 35.45 Cl.upf
CELL_PARAMETERS angstrom
4.775 0.000 0.000
0.000 4.775 0.000
0.000 0.000 4.564
ATOMIC_POSITIONS angstrom
P 0.000 2.387 0.000
P 2.387 0.000 0.000
W 0.000 0.000 0.000
S 0.000 0.000 2.282
Cl 2.387 2.387 2.282
! total moment = 0.000 μB per atom
! SG = No. 123
! energy relative to the elements, uncorrected = 0.315 eV per atom

! ZrCr2As | the Alexandria database | PBE | optimized geometry; values from VASP
&SYSTEM
  ibrav = 0, nat = 8, ntyp = 3
/
ATOMIC_SPECIES
Zr 91.22 Zr.upf
Cr 52.00 Cr.upf
As 74.92 As.upf
CELL_PARAMETERS angstrom
5.581 0.000 0.000
0.000 8.732 0.000
-1.494 0.000 2.554
ATOMIC_POSITIONS angstrom
Zr 0.000 0.000 0.000
Zr 2.791 4.366 0.000
Cr 0.648 2.183 1.277
Cr 0.648 6.549 1.277
Cr 3.439 2.183 1.277
Cr 3.439 6.549 1.277
As 0.000 4.366 0.000
As 2.791 0.000 0.000
! total moment = 0.627 μB per atom
! DFT total energy = -7.90 eV/atom
! SG = No. 12

! TmHfCSe | the Alexandria database | PBE | optimized geometry; values from VASP
&SYSTEM
  ibrav = 0, nat = 12, ntyp = 4
/
ATOMIC_SPECIES
Tm 168.93 Tm.upf
Hf 178.49 Hf.upf
C 12.01 C.upf
Se 78.96 Se.upf
CELL_PARAMETERS angstrom
3.527 0.000 0.000
-1.764 3.055 0.000
0.000 0.000 19.435
ATOMIC_POSITIONS angstrom
Tm 0.000 0.000 0.000
Tm 0.000 2.037 12.956
Tm 1.764 1.018 6.478
Hf 0.000 0.000 3.955
Hf 0.000 2.037 16.911
Hf 1.764 1.018 10.433
C 0.000 0.000 11.506
C 0.000 2.037 5.028
C 1.764 1.018 17.984
Se 0.000 0.000 15.012
Se 0.000 2.037 8.534
Se 1.764 1.018 2.056
! total moment = 0.000 μB per atom
! SG = No. 160
! energy relative to the elements, uncorrected = -1.147 eV per atom

! Sb2MoRh | the Alexandria database | PBE | optimized geometry; values from VASP
&SYSTEM
  ibrav = 0, nat = 8, ntyp = 3
/
ATOMIC_SPECIES
Sb 121.76 Sb.upf
Mo 95.94 Mo.upf
Rh 102.91 Rh.upf
CELL_PARAMETERS angstrom
9.789 0.000 0.000
0.000 3.394 0.000
-0.985 0.000 4.481
ATOMIC_POSITIONS angstrom
Sb 0.000 0.000 0.000
Sb 1.816 0.000 2.676
Sb 4.895 1.697 0.000
Sb 6.711 1.697 2.676
Mo -0.333 1.697 2.279
Mo 4.561 0.000 2.279
Rh 2.197 1.697 0.429
Rh 7.092 0.000 0.429
! total moment = 0.000 μB per atom
! SG = No. 8
! energy relative to the elements, uncorrected = -0.020 eV per atom

The highest total moment belongs to which entry?
ZrCr2As